# MgNbHg2, relaxed, DFT PBE
data_MgNbHg2
_chemical_formula_sum 'Mg1 Nb1 Hg2'
_space_group_name_H-M_alt 'P 1'
_space_group_IT_number 1
_space_group_name_Hall 'P 1'
_cell_length_a 4.407
_cell_length_b 4.407
_cell_length_c 4.089
_cell_angle_alpha 90.00
_cell_angle_beta 90.00
_cell_angle_gamma 90.00
loop_
_atom_site_label
_atom_site_type_symbol
_atom_site_fract_x
_atom_site_fract_y
_atom_site_fract_z
Mg1 Mg 0.000 0.000 0.000
Nb1 Nb 0.500 0.500 0.000
Hg1 Hg 0.000 0.500 0.500
Hg2 Hg 0.500 0.000 0.500
# DOS at the Fermi energy ... 2.56 states/eV/f.u.
# Formation energy from the elements ... 0.10 eV per atom
# E_tot ... -2.968 eV/atom
# Crystal system ... tetragonal

---

# BaCoRu2, relaxed, DFT PBE
data_BaCoRu2
_chemical_formula_sum 'Ba1 Co1 Ru2'
_space_group_name_H-M_alt 'P 1'
_space_group_IT_number 1
_space_group_name_Hall 'P 1'
_cell_length_a 3.161
_cell_length_b 3.161
_cell_length_c 7.659
_cell_angle_alpha 90.00
_cell_angle_beta 90.00
_cell_angle_gamma 90.00
loop_
_atom_site_label
_atom_site_type_symbol
_atom_site_fract_x
_atom_site_fract_y
_atom_site_fract_z
Ba1 Ba 0.000 0.000 0.000
Co1 Co 0.500 0.500 0.331
Ru1 Ru 0.000 0.000 0.484
Ru2 Ru 0.500 0.500 0.667
# DOS at the Fermi energy ... 5.79 states/eV/f.u.
# Formation energy from the elements ... 0.63 eV per atom
# E_tot ... -6.262 eV/atom
# Crystal system ... tetragonal

---

# Rb2Pb2O5, relaxed, DFT PBE
data_Rb2Pb2O5
_chemical_formula_sum 'Rb2 Pb2 O5'
_space_group_name_H-M_alt 'P 1'
_space_group_IT_number 1
_space_group_name_Hall 'P 1'
_cell_length_a 6.689
_cell_length_b 6.689
_cell_length_c 7.442
_cell_angle_alpha 98.18
_cell_angle_beta 98.18
_cell_angle_gamma 36.18
loop_
_atom_site_label
_atom_site_type_symbol
_atom_site_fract_x
_atom_site_fract_y
_atom_site_fract_z
Rb1 Rb 0.110 0.110 0.364
Rb2 Rb 0.890 0.890 0.636
Pb1 Pb 0.355 0.355 0.107
Pb2 Pb 0.645 0.645 0.893
O1 O 0.180 0.180 0.004
O2 O 0.368 0.368 0.381
O3 O 0.500 0.500 0.000
O4 O 0.632 0.632 0.619
O5 O 0.820 0.820 0.996
# DOS at the Fermi energy ... 5.36 states/eV/f.u.
# E_tot ... -4.811 eV/atom
# Crystal system ... monoclinic

---

# TbTl2Cl6, relaxed, DFT PBE
data_TbTl2Cl6
_chemical_formula_sum 'Tb1 Tl2 Cl6'
_space_group_name_H-M_alt 'P 1'
_space_group_IT_number 1
_space_group_name_Hall 'P 1'
_cell_length_a 3.941
_cell_length_b 8.491
_cell_length_c 8.491
_cell_angle_alpha 124.54
_cell_angle_beta 90.00
_cell_angle_gamma 90.00
loop_
_atom_site_label
_atom_site_type_symbol
_atom_site_fract_x
_atom_site_fract_y
_atom_site_fract_z
Tb1 Tb 0.000 0.000 0.000
Tl1 Tl 0.500 0.353 0.689
Tl2 Tl 0.500 0.689 0.353
Cl1 Cl 0.000 0.031 0.447
Cl2 Cl 0.000 0.447 0.031
Cl3 Cl 0.000 0.641 0.641
Cl4 Cl 0.500 0.027 0.794
Cl5 Cl 0.500 0.252 0.252
Cl6 Cl 0.500 0.794 0.027
# DOS at the Fermi energy ... 5.39 states/eV/f.u.
# E_tot ... -3.666 eV/atom
# Crystal system ... orthorhombic

---

> What is the formula in the fourth record?

TbTl2Cl6

---

> Which value of DOS at the Fermi energy does entry 3 give?

5.36 states/eV/f.u.

---

> Which formula does entry 3 have?

Rb2Pb2O5